Entry one
Entry from Alexandria: Na3ScF6 after structural relaxation (PBE).

The structure in POSCAR format:
```
Na3ScF6
1.0
5.876 0.000 0.000
0.000 5.652 -0.005
0.000 5.529 8.210
Na Sc F
6 2 12
Cartesian
2.938 2.826 -0.003
5.552 8.286 6.242
2.614 5.661 6.067
0.324 2.896 1.962
3.262 5.521 2.137
0.000 5.591 4.102
2.938 2.765 4.105
0.000 0.000 0.000
3.996 6.747 4.544
1.058 7.200 7.765
2.530 2.072 2.227
0.408 4.837 6.332
5.468 6.345 1.872
4.207 6.506 7.542
1.269 7.441 4.767
1.669 4.676 0.662
3.346 9.110 5.977
4.818 3.982 0.439
4.607 3.741 3.437
1.880 4.435 3.660
```

Computed properties:
- volume (Å³/cell) = 273
- crystal system = monoclinic

Entry two
Entry from Alexandria: Na3ScF6 after structural relaxation (PBE).

The structure in POSCAR format:
```
Na3ScF6
1.0
0.000 4.210 4.210
4.210 0.000 4.210
4.210 4.210 0.000
Na F Sc
3 6 1
Cartesian
4.210 4.210 4.210
2.105 2.105 2.105
6.315 6.315 6.315
6.406 4.210 4.210
4.210 4.210 2.014
4.210 2.014 4.210
4.210 6.406 4.210
2.014 4.210 4.210
4.210 4.210 6.406
0.000 0.000 0.000
```

Computed properties:
- volume (Å³/cell) = 149
- crystal system = cubic

Entry three
Entry from Alexandria: Na3ScF6 after structural relaxation (PBE).

The structure in POSCAR format:
```
Na3ScF6
1.0
-0.211 -6.439 1.948
5.801 0.953 3.278
-3.534 1.902 5.403
F Na Sc
12 6 2
Cartesian
0.663 0.165 4.895
-1.647 1.816 6.159
5.283 -0.914 3.898
2.387 -2.036 3.820
1.394 -3.749 5.734
3.703 -5.400 4.470
-1.001 -5.496 3.568
3.057 1.912 7.061
2.601 -1.089 6.397
-0.545 -2.495 4.232
-0.330 -1.548 6.809
-3.227 -2.670 6.731
-2.387 -1.339 5.108
-0.113 0.711 7.399
2.788 1.154 4.948
-0.732 -4.737 5.681
4.443 -2.245 5.521
2.169 -4.294 3.230
1.028 -1.792 5.315
0.000 0.000 0.000
```

Computed properties:
- volume (Å³/cell) = 305
- crystal system = trigonal

Most stable structure: entry one